# 1
TbPrNi2As2 (PBE, optimized geometry); space group = No. 164; calculated total energy = -36.53 eV for the cell shown; spin magnetization = 0.000 μB/atom
1.0
-0.9121 -3.8526 -1.0542
3.3245 1.8179 -1.5584
4.3551 -2.7087 6.1307
As Tb Ni Pr
2 1 2 1
direct
0.6667 0.3333 0.7395
0.3333 0.6667 0.2605
0.0000 0.0000 0.5000
0.3333 0.6667 0.7415
0.6667 0.3333 0.2585
0.0000 0.0000 0.0000



# 2
Tc2PtRh4 (PBE, optimized geometry); distance to the lowest polymorph of the same formula = 1.30 eV/f.u.; space group = No. 122; calculated total energy = -107.44 eV for the cell shown; spin magnetization = 0.000 μB/atom
1.0
-0.5210 -5.9310 -2.7990
4.8765 3.3886 -2.8319
1.2588 -0.7981 6.4079
Rh Tc Pt
8 4 2
direct
0.4595 0.0661 0.2169
0.9669 0.5661 0.7095
0.5992 0.7426 0.0331
0.2905 0.2574 0.8566
0.7831 0.2426 0.8492
0.1434 0.4339 0.4008
0.1508 0.9339 0.3934
0.6066 0.7574 0.5405
0.8750 0.1134 0.4884
0.3750 0.8866 0.7616
0.2384 0.6134 0.1250
0.5116 0.3866 0.6250
0.7500 0.5000 0.2500
0.0000 0.0000 0.0000



# 3
Be3P2 (PBE, optimized geometry); distance to the lowest polymorph of the same formula = 0.81 eV/f.u.; space group = No. 167; calculated total energy = -44.78 eV for the cell shown; spin magnetization = 0.000 μB/atom
1.0
-4.1979 1.2662 -3.4670
0.5266 -0.9362 -5.4856
-2.9517 -4.1038 -2.4310
P Be
4 6
direct
0.6147 0.6147 0.1560
0.8853 0.8853 0.3440
0.3853 0.3853 0.8440
0.1147 0.1147 0.6560
0.5000 0.0000 0.2500
0.7500 0.5000 0.7500
0.0000 0.7500 0.7500
0.5000 0.0000 0.7500
0.2500 0.5000 0.2500
0.0000 0.2500 0.2500



# 4
SmAlO (PBE, optimized geometry); space group = No. 38; calculated total energy = -34.05 eV for the cell shown; E_form (uncorrected) = -1.202 eV/atom; spin magnetization = 0.000 μB/atom
1.0
-2.7773 0.7643 -1.1792
0.2464 -2.2189 2.0895
-1.4796 8.0014 8.6712
Al O Sm
2 2 2
direct
0.2784 0.5568 0.5000
0.5888 0.1776 0.0000
0.2803 0.5606 0.0987
0.2803 0.5606 0.9013
0.6194 0.2388 0.2729
0.6194 0.2388 0.7271



# 5
NpHgPb2 (PBE, optimized geometry); distance to the lowest polymorph of the same formula = 0.39 eV/f.u.; space group = No. 123; calculated total energy = -19.58 eV for the cell shown; spin magnetization = 1.204 μB/atom
1.0
-0.3490 -1.0596 3.7480
3.3596 -1.9858 -0.2486
3.6573 5.9346 2.0184
Hg Pb Np
1 2 1
direct
0.5000 0.5000 0.0000
0.0000 0.0000 0.2344
0.0000 0.0000 0.7656
0.5000 0.5000 0.5000



# 6
PtSeBr2Cl (PBE, optimized geometry); distance to the lowest polymorph of the same formula = 0.00 eV/f.u.; space group = No. 123; calculated total energy = -13.11 eV for the cell shown; E_form (uncorrected) = 0.322 eV/atom; spin magnetization = 0.043 μB/atom
1.0
5.2205 0.0000 0.0000
0.0000 5.2205 0.0000
0.0000 0.0000 4.8294
Se Pt Cl Br
1 1 1 2
direct
0.0000 0.0000 0.5000
0.0000 0.0000 0.0000
0.5000 0.5000 0.5000
0.0000 0.5000 0.0000
0.5000 0.0000 0.0000



# 7
Y2ThPbC (PBE, optimized geometry); space group = No. 123; calculated total energy = -35.49 eV for the cell shown; spin magnetization = 0.000 μB/atom
1.0
-3.5314 0.5561 3.5815
0.9077 -4.6150 1.6116
3.4434 1.7671 3.1209
Th C Y Pb
1 1 2 1
direct
0.5000 0.0000 0.0000
0.0000 0.0000 0.0000
0.0000 0.5000 0.0000
0.0000 0.0000 0.5000
0.5000 0.5000 0.5000



# 8
Tb9Sc2Tl (PBE, optimized geometry); space group = No. 123; calculated total energy = -57.16 eV for the cell shown; spin magnetization = 0.000 μB/atom
1.0
-0.7886 -4.7510 -0.8442
0.9141 0.6928 -4.7530
14.4454 -2.8184 2.3672
Tb Sc Tl
9 2 1
direct
0.5000 0.0000 0.5000
0.0000 0.5000 0.1674
0.5000 0.5000 0.6670
0.5000 0.0000 0.8326
0.0000 0.5000 0.5000
0.5000 0.5000 0.3330
0.5000 0.5000 0.0000
0.5000 0.0000 0.1674
0.0000 0.5000 0.8326
0.0000 0.0000 0.6658
0.0000 0.0000 0.3342
0.0000 0.0000 0.0000



# 9
Cs3SrTe2O8 (PBE, optimized geometry); space group = No. 164; calculated total energy = -71.73 eV for the cell shown; E_form (uncorrected) = -1.539 eV/atom; spin magnetization = 0.037 μB/atom
1.0
-3.5085 -5.5234 -0.9382
3.6578 0.7046 5.4609
-6.7016 3.5728 4.0279
O Te Cs Sr
8 2 3 1
direct
0.1774 0.3548 0.3243
0.3333 0.6667 0.0314
0.6452 0.8226 0.3243
0.1774 0.8226 0.3243
0.8226 0.1774 0.6757
0.3548 0.1774 0.6757
0.8226 0.6452 0.6757
0.6667 0.3333 0.9686
0.3333 0.6667 0.2477
0.6667 0.3333 0.7523
0.3333 0.6667 0.6980
0.0000 0.0000 0.0000
0.6667 0.3333 0.3020
0.0000 0.0000 0.5000



# 10
Ce2AsN2 (PBE, optimized geometry); distance to the lowest polymorph of the same formula = 1.31 eV/f.u.; space group = No. 139; calculated total energy = -76.34 eV for the cell shown; E_form (uncorrected) = -1.000 eV/atom; spin magnetization = 0.152 μB/atom
1.0
-0.5124 2.2949 4.2131
4.0872 -2.0100 1.5920
4.3977 6.5433 -3.0293
N Ce As
4 4 2
direct
0.2501 0.2501 0.4857
0.7499 0.7499 0.5143
0.7499 0.7499 0.9857
0.2501 0.2501 0.0143
0.7500 0.2500 0.5000
0.7500 0.2500 0.0000
0.2500 0.7500 0.5000
0.2500 0.7500 0.0000
0.2501 0.2501 0.7500
0.7499 0.7499 0.2500



# 11
K3Pa3SnN8 (PBE, optimized geometry); space group = No. 12; calculated total energy = -112.41 eV for the cell shown; E_form (uncorrected) = -0.668 eV/atom; spin magnetization = 0.093 μB/atom
1.0
6.9092 0.0000 0.0000
-3.4546 6.1655 0.0240
0.0000 -4.0479 6.5162
N Sn K Pa
8 1 3 3
direct
0.7256 0.9512 0.6658
0.7221 0.4442 0.6614
0.7744 0.0488 0.3342
0.2255 0.4510 0.6639
0.2256 0.9512 0.6658
0.7745 0.5490 0.3361
0.2744 0.0488 0.3342
0.2779 0.5558 0.3386
0.0000 0.0000 0.5000
0.0000 0.5000 0.0000
0.5000 0.5000 0.0000
0.0000 0.0000 0.0000
0.0000 0.5000 0.5000
0.5000 0.5000 0.5000
0.5000 0.0000 0.5000



# 12
Th4Ru2Au (PBE, optimized geometry); distance to the lowest polymorph of the same formula = 0.00 eV/f.u.; space group = No. 63; calculated total energy = -110.04 eV for the cell shown; spin magnetization = 0.000 μB/atom
1.0
-2.1801 0.2866 3.4316
-1.3108 -6.4410 -2.7151
10.5412 -5.1494 7.1268
Th Ru Au
8 4 2
direct
0.9349 0.8698 0.7500
0.7692 0.5384 0.1177
0.7692 0.5384 0.3823
0.5000 0.0000 0.0000
0.5000 0.0000 0.5000
0.2308 0.4616 0.6177
0.2308 0.4616 0.8823
0.0651 0.1302 0.2500
0.8696 0.7391 0.5608
0.1304 0.2609 0.4392
0.1304 0.2609 0.0608
0.8696 0.7391 0.9392
0.6070 0.2139 0.7500
0.3930 0.7861 0.2500



# 13
ZrZnRe3 (PBE, optimized geometry); distance to the lowest polymorph of the same formula = 5.74 eV/f.u.; space group = No. 221; calculated total energy = -34.01 eV for the cell shown; spin magnetization = 0.491 μB/atom
1.0
4.8077 0.0000 0.0000
0.0000 4.8077 0.0000
0.0000 0.0000 4.8077
Zn Re Zr
1 3 1
direct
0.5000 0.5000 0.5000
0.0000 0.5000 0.0000
0.5000 0.0000 0.0000
0.0000 0.0000 0.5000
0.0000 0.0000 0.0000



# 14
Zn2InGa (PBE, optimized geometry); distance to the lowest polymorph of the same formula = 0.14 eV/f.u.; space group = No. 160; calculated total energy = -7.91 eV for the cell shown; spin magnetization = 0.000 μB/atom
1.0
-4.1783 0.0228 -0.8398
-2.4096 -3.3442 1.0833
-3.1222 1.0721 4.7484
Zn In Ga
2 1 1
direct
0.0629 0.0629 0.8112
0.2695 0.2695 0.1914
0.4910 0.4910 0.5269
0.6765 0.6765 0.9704